Ga2As2I: optimized geometry, GGA-PBE.

The structure in POSCAR format:
```
Ga2As2I
1.0
-2.500 2.500 4.615
2.500 -2.500 4.615
2.500 2.500 -4.615
Ga As I
2 2 1
Direct
0.250 0.750 0.500
0.750 0.250 0.500
0.138 0.138 0.000
0.862 0.862 0.000
0.500 0.500 0.000
```

crystal system	tetragonal
final energy	-3.4805	eV/atom
formation energy (no corrections)	-0.100	eV per atom
excess energy over the best structure of this formula in the dataset	0	meV/atom
D(E_F)	0.9	states/eV/cell
space group	No. 139